A:
# Ba3U2O8 (PBE, optimized geometry)
data_Ba3U2O8
_chemical_formula_sum 'Ba9 U6 O24'
_cell_length_a 6.7010
_cell_length_b 6.7010
_cell_length_c 20.6861
_cell_angle_alpha 90.00
_cell_angle_beta 90.00
_cell_angle_gamma 120.00
_space_group_name_H-M_alt 'R -3 m'
_space_group_IT_number 166
_space_group_name_Hall '-R 3 2"'
loop_
_atom_site_label
_atom_site_type_symbol
_atom_site_fract_x
_atom_site_fract_y
_atom_site_fract_z
_atom_site_occupancy
Ba1 Ba 0.0000 0.0000 0.0000 1
Ba2 Ba 0.0000 0.0000 0.1933 1
U1 U 0.0000 0.0000 0.4137 1
O1 O 0.0000 0.0000 0.3179 1
O2 O 0.0116 0.5058 0.7674 1
# magnetic moment	5.94	Bohr magnetons per cell

---

B:
# Ba3U2O8 (PBE, optimized geometry)
data_Ba3U2O8
_chemical_formula_sum 'Ba6 U4 O16'
_cell_length_a 12.770
_cell_length_b 7.236
_cell_length_c 9.066
_cell_angle_alpha 90.00
_cell_angle_beta 132.20
_cell_angle_gamma 90.00
_space_group_name_H-M_alt 'C 1 2/m 1'
_space_group_IT_number 12
_space_group_name_Hall '-C 2y'
loop_
_atom_site_label
_atom_site_type_symbol
_atom_site_fract_x
_atom_site_fract_y
_atom_site_fract_z
_atom_site_occupancy
Ba1 Ba 0.000 0.000 0.000 1
Ba2 Ba 0.000 0.257 0.500 1
U1 U 0.229 0.500 0.002 1
O1 O 0.026 0.500 0.746 1
O2 O 0.057 0.000 0.753 1
O3 O 0.229 0.218 0.128 1
# magnetic moment	4.00	Bohr magnetons per cell

---

How far above the most stable structure does each one sit? In kJ/mol of atoms: A 16.5; B 0.0.